Compound: SrMgRu2
Source: Alexandria
Functional: GGA-PBE
Structure: optimized geometry

CIF file:
```
data_SrMgRu2
_chemical_formula_sum 'Sr1 Mg1 Ru2'
_symmetry_space_group_name_H-M 'P 4/m m m'
_symmetry_Int_Tables_number 123
_symmetry_space_group_name_Hall '-P 4 2'
_cell_length_a 4.2293
_cell_length_b 4.2293
_cell_length_c 4.3746
_cell_angle_alpha 90.00
_cell_angle_beta 90.00
_cell_angle_gamma 90.00
loop_
_atom_site_label
_atom_site_fract_x
_atom_site_fract_y
_atom_site_fract_z
Sr1 0.0000 0.0000 0.0000
Mg1 0.5000 0.5000 0.0000
Ru1 0.0000 0.5000 0.5000
```

Results
- energy of formation (kJ per mole of atoms) = 63
- Fermi-level density of states (states/eV per cell) = 4.4



Compound: PmSm6Dy2Tm3
Source: Alexandria
Functional: GGA-PBE
Structure: optimized geometry

CIF file:
```
data_PmSm6Dy2Tm3
_chemical_formula_sum 'Pm2 Sm12 Dy4 Tm6'
_symmetry_space_group_name_H-M 'C 1 2/m 1'
_symmetry_Int_Tables_number 12
_cell_length_a 6.2101
_cell_length_b 10.7522
_cell_length_c 11.8085
_cell_angle_alpha 90.00
_cell_angle_beta 100.06
_cell_angle_gamma 90.00
loop_
_symmetry_equiv_pos_as_xyz
'x,y,z'
'-x,-y,-z'
'-x,y,-z'
'x,-y,z'
'x+1/2,y+1/2,z'
'-x+1/2,-y+1/2,-z'
'-x+1/2,y+1/2,-z'
'x+1/2,-y+1/2,z'
loop_
_atom_site_label
_atom_site_fract_x
_atom_site_fract_y
_atom_site_fract_z
Pm1 0.0000 0.0000 0.0000
Sm1 0.2492 0.0000 0.7474
Sm2 0.2485 0.3331 0.7473
Dy1 0.0000 0.3334 0.0000
Tm1 0.0000 0.1669 0.5000
Tm2 0.0000 0.5000 0.5000
```

Results
- energy of formation (kJ per mole of atoms) = 2
- Fermi-level density of states (states/eV per cell) = 28.6



Compound: Tb6Pd2O
Source: Alexandria
Functional: GGA-PBE
Structure: optimized geometry

CIF file:
```
data_Tb6Pd2O
_chemical_formula_sum 'Tb12 Pd4 O2'
_symmetry_space_group_name_H-M 'P 1 21/c 1'
_symmetry_Int_Tables_number 14
_cell_length_a 6.4379
_cell_length_b 7.0279
_cell_length_c 11.5235
_cell_angle_alpha 90.00
_cell_angle_beta 122.71
_cell_angle_gamma 90.00
loop_
_symmetry_equiv_pos_as_xyz
'x,y,z'
'-x,-y,-z'
'-x,y+1/2,-z+1/2'
'x,-y+1/2,z+1/2'
loop_
_atom_site_label
_atom_site_fract_x
_atom_site_fract_y
_atom_site_fract_z
Tb1 0.1185 0.0261 0.2435
Tb2 0.2313 0.6878 0.0584
Tb3 0.3726 0.1790 0.0572
Pd1 0.3074 0.1019 0.7523
O1 0.0000 0.0000 0.0000
```

Results
- Fermi-level density of states (states/eV per cell) = 17.2



Compound: LaDyCu
Source: Alexandria
Functional: GGA-PBE
Structure: optimized geometry

CIF file:
```
data_LaDyCu
_chemical_formula_sum 'La6 Dy6 Cu6'
_symmetry_space_group_name_H-M 'R -3 m'
_symmetry_Int_Tables_number 166
_symmetry_space_group_name_Hall '-R 3 2"'
_cell_length_a 4.7042
_cell_length_b 4.7042
_cell_length_c 26.9490
_cell_angle_alpha 90.00
_cell_angle_beta 90.00
_cell_angle_gamma 120.00
loop_
_atom_site_label
_atom_site_fract_x
_atom_site_fract_y
_atom_site_fract_z
La1 0.0000 0.0000 0.1243
Dy1 0.0000 0.0000 0.3701
Cu1 0.0000 0.0000 0.2600
```

Results
- energy of formation (kJ per mole of atoms) = 7
- Fermi-level density of states (states/eV per cell) = 25.4



Compound: ThU4As5
Source: Alexandria
Functional: GGA-PBE
Structure: optimized geometry

CIF file:
```
data_ThU4As5
_chemical_formula_sum 'Th2 U8 As10'
_symmetry_space_group_name_H-M 'I m m m'
_symmetry_Int_Tables_number 71
_symmetry_space_group_name_Hall '-I 2 2'
_cell_length_a 4.0912
_cell_length_b 5.8415
_cell_length_c 20.7952
_cell_angle_alpha 90.00
_cell_angle_beta 90.00
_cell_angle_gamma 90.00
loop_
_atom_site_label
_atom_site_fract_x
_atom_site_fract_y
_atom_site_fract_z
Th1 0.0000 0.0000 0.0000
U1 0.0000 0.0000 0.2025
U2 0.0000 0.0000 0.3997
As1 0.0000 0.5000 0.0000
As2 0.0000 0.5000 0.1990
As3 0.0000 0.5000 0.3954
```

Results
- energy of formation (kJ per mole of atoms) = -81
- Fermi-level density of states (states/eV per cell) = 52.7



Compound: Pm6Nd2Th3
Source: Alexandria
Functional: GGA-PBE
Structure: optimized geometry

CIF file:
```
data_Pm6Nd2Th3
_chemical_formula_sum 'Pm12 Nd4 Th6'
_symmetry_space_group_name_H-M 'C 1 2/m 1'
_symmetry_Int_Tables_number 12
_cell_length_a 6.0623
_cell_length_b 11.3034
_cell_length_c 11.4217
_cell_angle_alpha 90.00
_cell_angle_beta 98.14
_cell_angle_gamma 90.00
loop_
_symmetry_equiv_pos_as_xyz
'x,y,z'
'-x,-y,-z'
'-x,y,-z'
'x,-y,z'
'x+1/2,y+1/2,z'
'-x+1/2,-y+1/2,-z'
'-x+1/2,y+1/2,-z'
'x+1/2,-y+1/2,z'
loop_
_atom_site_label
_atom_site_fract_x
_atom_site_fract_y
_atom_site_fract_z
Pm1 0.0801 0.1589 0.2348
Pm2 0.0934 0.5000 0.2684
Nd1 0.0000 0.3550 0.0000
Th1 0.0000 0.0000 0.5000
Th2 0.0000 0.3254 0.5000
```

Results
- energy of formation (kJ per mole of atoms) = 16
- Fermi-level density of states (states/eV per cell) = 35.2



Values for uncorrected energy, eV per atom, ordered as above
-4.80; -4.62; -5.84; -4.47; -8.43; -5.31
Values for size of the total moment, μB per formula unit, ordered as above
2.27; 0.00; 0.00; 0.00; 10.10; 0.00